Entry 1:
# MnSb4Pt meta-GGA SCAN single point on PBEsol structure
data_MnSb4Pt
_space_group_name_H-M_alt 'P 1'
_space_group_IT_number 1
_cell_length_a 5.9450
_cell_length_b 5.9450
_cell_length_c 5.9450
_cell_angle_alpha 60.00
_cell_angle_beta 60.00
_cell_angle_gamma 60.00
loop_
_space_group_symop_operation_xyz
'x,y,z'
loop_
_atom_site_label
_atom_site_type_symbol
_atom_site_fract_x
_atom_site_fract_y
_atom_site_fract_z
_atom_site_occupancy
Mn1 Mn 0.0000 0.0000 0.0000 1
Sb1 Sb 0.1260 0.6247 0.6247 1
Sb2 Sb 0.6247 0.1260 0.6247 1
Sb3 Sb 0.6247 0.6247 0.1260 1
Sb4 Sb 0.6247 0.6247 0.6247 1
Pt1 Pt 0.2500 0.2500 0.2500 1
# ΔE_f (raw) = 0.7387 eV per atom
# Final energy = -38.843 eV/atom
# Space-group type = No. 216
# D(E_F) = 3.69 states/eV/f.u.



Entry 2:
# SiAgPb2 meta-GGA SCAN single point on PBEsol structure
data_SiAgPb2
_space_group_name_H-M_alt 'P 1'
_space_group_IT_number 1
_cell_length_a 3.3225
_cell_length_b 3.3225
_cell_length_c 8.3201
_cell_angle_alpha 90.00
_cell_angle_beta 90.00
_cell_angle_gamma 90.00
loop_
_space_group_symop_operation_xyz
'x,y,z'
loop_
_atom_site_label
_atom_site_type_symbol
_atom_site_fract_x
_atom_site_fract_y
_atom_site_fract_z
_atom_site_occupancy
Si1 Si 0.0000 0.0000 0.0000 1
Ag1 Ag 0.5000 0.5000 0.8386 1
Pb1 Pb 0.0000 0.0000 0.5830 1
Pb2 Pb 0.5000 0.5000 0.2524 1
# ΔE_f (raw) = 0.3308 eV per atom
# Final energy = -47.905 eV/atom
# Space-group type = No. 99
# D(E_F) = 1.61 states/eV/f.u.



Entry 3:
# BaZr2Sc meta-GGA SCAN single point on PBEsol structure
data_BaZr2Sc
_space_group_name_H-M_alt 'P 1'
_space_group_IT_number 1
_cell_length_a 5.5324
_cell_length_b 5.5324
_cell_length_c 3.3492
_cell_angle_alpha 90.00
_cell_angle_beta 90.00
_cell_angle_gamma 90.00
loop_
_space_group_symop_operation_xyz
'x,y,z'
loop_
_atom_site_label
_atom_site_type_symbol
_atom_site_fract_x
_atom_site_fract_y
_atom_site_fract_z
_atom_site_occupancy
Ba1 Ba 0.0000 0.0000 0.0000 1
Zr1 Zr 0.0000 0.5000 0.5000 1
Zr2 Zr 0.5000 0.0000 0.5000 1
Sc1 Sc 0.5000 0.5000 0.0000 1
# Final energy = -28.102 eV/atom
# Space-group type = No. 123
# D(E_F) = 5.31 states/eV/f.u.
# Energy of formation from the pure elements = 0.694 eV/atom



Entry 4:
# SrTb2Se4 meta-GGA SCAN single point on PBEsol structure
data_SrTb2Se4
_space_group_name_H-M_alt 'P 1'
_space_group_IT_number 1
_cell_length_a 12.3267
_cell_length_b 4.1162
_cell_length_c 14.8697
_cell_angle_alpha 90.00
_cell_angle_beta 90.00
_cell_angle_gamma 90.00
loop_
_space_group_symop_operation_xyz
'x,y,z'
loop_
_atom_site_label
_atom_site_type_symbol
_atom_site_fract_x
_atom_site_fract_y
_atom_site_fract_z
_atom_site_occupancy
Sr1 Sr 0.2436 0.2500 0.1634 1
Sr2 Sr 0.2564 0.7500 0.6634 1
Sr3 Sr 0.7436 0.2500 0.3366 1
Sr4 Sr 0.7564 0.7500 0.8366 1
Tb1 Tb 0.0724 0.2500 0.3919 1
Tb2 Tb 0.0783 0.2500 0.9002 1
Tb3 Tb 0.4217 0.7500 0.4002 1
Tb4 Tb 0.4276 0.7500 0.8919 1
Tb5 Tb 0.5724 0.2500 0.1081 1
Tb6 Tb 0.5783 0.2500 0.5998 1
Tb7 Tb 0.9217 0.7500 0.0998 1
Tb8 Tb 0.9276 0.7500 0.6081 1
Se1 Se 0.0193 0.7500 0.7835 1
Se2 Se 0.0853 0.2500 0.5814 1
Se3 Se 0.1360 0.7500 0.0261 1
Se4 Se 0.2100 0.7500 0.3225 1
Se5 Se 0.2900 0.2500 0.8225 1
Se6 Se 0.3640 0.2500 0.5261 1
Se7 Se 0.4147 0.7500 0.0814 1
Se8 Se 0.4807 0.2500 0.2835 1
Se9 Se 0.5193 0.7500 0.7165 1
Se10 Se 0.5853 0.2500 0.9186 1
Se11 Se 0.6360 0.7500 0.4739 1
Se12 Se 0.7100 0.7500 0.1775 1
Se13 Se 0.7900 0.2500 0.6775 1
Se14 Se 0.8640 0.2500 0.9739 1
Se15 Se 0.9147 0.7500 0.4186 1
Se16 Se 0.9807 0.2500 0.2165 1
# ΔE_f (raw) = -2.2030 eV per atom
# Final energy = -30.219 eV/atom
# Space-group type = No. 62
# D(E_F) = 0.00 states/eV/f.u.



Spin magnetization (computed, μB/f.u.): 4.78; 0.00; 0.00; 0.00
Calculated volume (computed, A^3/atom): 24.76; 22.96; 25.63; 26.95